(1)
DFT (SCAN) results for a PBEsol-optimized structure of Ba6Li2Ti16O39.

Unit cell a=9.0847 b=9.5490 c=9.5490 alpha=104.78 beta=96.74 gamma=83.26
Fractional coordinates of all 63 atoms:
Ti 0.0850 0.3777 0.6223
O 0.7589 0.0648 0.5949
O 0.6195 0.0351 0.3001
Ti 0.5637 0.0099 0.6669
O 0.6059 0.3830 0.6170
O 0.8835 0.4692 0.1960
O 0.7023 0.2351 0.0926
Ti 0.2302 0.4116 0.9265
Ba 0.2310 0.7132 0.6102
Ti 0.4434 0.3346 0.6654
O 0.2959 0.4287 0.5713
O 0.5703 0.8681 0.4667
O 0.0000 0.8173 0.8173
O 0.7589 0.4051 0.9352
O 0.4376 0.7994 0.2006
O 0.3805 0.9649 0.6999
O 0.4297 0.4667 0.8681
O 0.0849 0.3364 0.9981
O 0.2411 0.9352 0.4051
O 0.2411 0.5949 0.0648
O 0.0944 0.8857 0.1143
Ti 0.2302 0.0735 0.5884
O 0.9151 0.9981 0.3364
Ba 0.7690 0.6102 0.7132
O 0.2977 0.7649 0.9074
O 0.2977 0.0926 0.2351
O 0.9056 0.1143 0.8857
O 0.1165 0.5308 0.8040
Ti 0.4363 0.9901 0.3331
O 0.2374 0.2598 0.7402
O 0.0849 0.0019 0.6636
O 0.8835 0.8040 0.5308
O 0.0000 0.1827 0.1827
Ti 0.4363 0.6669 0.0099
O 0.9151 0.6636 0.0019
Ti 0.7698 0.9265 0.4116
Ba 0.2258 0.0523 0.9477
O 0.6195 0.6999 0.9649
Ba 0.7742 0.9477 0.0523
O 0.1165 0.1960 0.4692
O 0.3941 0.6170 0.3830
Ti 0.0973 0.7173 0.9578
Ti 0.0973 0.0422 0.2827
Li 0.7615 0.2656 0.7344
Ti 0.9027 0.2827 0.0422
Ti 0.9150 0.6223 0.3777
O 0.7023 0.9074 0.7649
O 0.5624 0.2006 0.7994
O 0.7041 0.5713 0.4287
O 0.3805 0.3001 0.0351
Ba 0.2310 0.3898 0.2868
O 0.4297 0.1319 0.5333
Ti 0.5566 0.6654 0.3346
O 0.5703 0.5333 0.1319
O 0.0855 0.6614 0.3386
Ti 0.9027 0.9578 0.7173
O 0.0000 0.5000 0.5000
O 0.9145 0.3386 0.6614
Ti 0.5637 0.3331 0.9901
Ba 0.7690 0.2868 0.3898
Li 0.2385 0.7344 0.2656
Ti 0.7698 0.5884 0.0735
O 0.7626 0.7402 0.2598

total energy: -15.1013 eV per atom
SG: C2/m
uncorrected formation energy: -3330 meV per atom

=====

(2)
DFT (SCAN) results for a PBEsol-optimized structure of BaLiOs.

Unit cell a=4.8127 b=4.8127 c=4.8127 alpha=60.00 beta=60.00 gamma=60.00
Fractional coordinates of all 3 atoms:
Li 0.0000 0.0000 0.0000
Os 0.5000 0.5000 0.5000
Ba 0.2500 0.2500 0.2500

total energy: -36.4037 eV per atom
SG: F-43m
energy relative to the lowest polymorph listed for this composition: 0.761 eV/atom
ΔE_f: 148 kJ per mole of atoms

=====

(3)
DFT (SCAN) results for a PBEsol-optimized structure of BaLiOs.

Unit cell a=2.9109 b=5.0587 c=5.0587 alpha=120.00 beta=90.00 gamma=90.00
Fractional coordinates of all 3 atoms:
Os 0.5016 0.6667 0.3333
Ba 0.0004 0.0000 0.0000
Li 0.4981 0.3333 0.6667

total energy: -37.0759 eV per atom
SG: P3m1
energy relative to the lowest polymorph listed for this composition: 0.089 eV/atom
ΔE_f: 83 kJ per mole of atoms

=====

(4)
DFT (SCAN) results for a PBEsol-optimized structure of BaLiOs.

Unit cell a=2.8802 b=4.2341 c=5.8724 alpha=111.13 beta=104.20 gamma=90.00
Fractional coordinates of all 3 atoms:
Os 0.7045 0.7045 0.4089
Li 0.2860 0.2860 0.5719
Ba 0.0096 0.0096 0.0191

total energy: -37.1647 eV per atom
SG: Imm2
energy relative to the lowest polymorph listed for this composition: 0.000 eV/atom
ΔE_f: 75 kJ per mole of atoms

=====

(5)
DFT (SCAN) results for a PBEsol-optimized structure of BaLiOs.

Unit cell a=3.4401 b=3.4401 c=5.8064 alpha=107.23 beta=107.23 gamma=90.00
Fractional coordinates of all 3 atoms:
Ba 0.0077 0.0077 0.0153
Os 0.7044 0.7044 0.4087
Li 0.2880 0.2880 0.5759

total energy: -37.1316 eV per atom
SG: I4mm
energy relative to the lowest polymorph listed for this composition: 0.033 eV/atom
ΔE_f: 78 kJ per mole of atoms

=====

(6)
DFT (SCAN) results for a PBEsol-optimized structure of BaLiOs.

Unit cell a=3.2933 b=3.2933 c=7.4620 alpha=90.00 beta=90.00 gamma=120.00
Fractional coordinates of all 3 atoms:
Li 0.3333 0.6667 0.5927
Os 0.6667 0.3333 0.3548
Ba 0.0000 0.0000 0.0526

total energy: -36.8295 eV per atom
SG: P3m1
energy relative to the lowest polymorph listed for this composition: 0.335 eV/atom
ΔE_f: 107 kJ per mole of atoms

=====

(7)
DFT (SCAN) results for a PBEsol-optimized structure of Ba2LiP.

Unit cell a=4.6559 b=4.6559 c=6.3206 alpha=111.61 beta=111.61 gamma=90.00
Fractional coordinates of all 4 atoms:
Li 0.5000 0.5000 0.0000
Ba 0.7500 0.2500 0.5000
Ba 0.0000 0.0000 0.0000
P 0.2500 0.7500 0.5000

total energy: -23.3345 eV per atom
SG: I-4m2
ΔE_f: -35 kJ per mole of atoms

=====

(8)
DFT (SCAN) results for a PBEsol-optimized structure of BaLi2P2.

Unit cell a=4.4092 b=4.4092 c=5.8816 alpha=112.01 beta=112.01 gamma=90.00
Fractional coordinates of all 5 atoms:
Ba 0.0000 0.0000 0.0000
Li 0.7500 0.2500 0.5000
P 0.6142 0.6142 0.2284
P 0.3858 0.3858 0.7716
Li 0.2500 0.7500 0.5000

total energy: -13.9811 eV per atom
SG: I4/mmm
ΔE_f: -92 kJ per mole of atoms

=====

(9)
DFT (SCAN) results for a PBEsol-optimized structure of Ba2LiP.

Unit cell a=4.4731 b=4.6159 c=6.5378 alpha=110.67 beta=90.00 gamma=90.00
Fractional coordinates of all 4 atoms:
Li 0.0000 0.5806 0.1612
Ba 0.0000 0.2566 0.5132
Ba 0.5000 0.9779 0.9558
P 0.5000 0.6849 0.3698

total energy: -23.6743 eV per atom
SG: Amm2
ΔE_f: -68 kJ per mole of atoms

=====

(10)
DFT (SCAN) results for a PBEsol-optimized structure of BaLi3P.

Unit cell a=4.7904 b=4.7904 c=4.7904 alpha=90.00 beta=90.00 gamma=90.00
Fractional coordinates of all 5 atoms:
Ba 0.5000 0.5000 0.5000
Li 0.0000 0.5000 0.0000
Li 0.5000 0.0000 0.0000
Li 0.0000 0.0000 0.5000
P 0.0000 0.0000 0.0000

total energy: -11.8060 eV per atom
SG: Pm-3m
ΔE_f: -37 kJ per mole of atoms

=====

(11)
DFT (SCAN) results for a PBEsol-optimized structure of BaLiP.

Unit cell a=4.3796 b=4.3796 c=4.4523 alpha=90.00 beta=90.00 gamma=120.00
Fractional coordinates of all 3 atoms:
Ba 0.0000 0.0000 0.5000
P 0.3333 0.6667 0.0000
Li 0.6667 0.3333 0.0000

total energy: -18.4766 eV per atom
SG: P-6m2
ΔE_f: -99 kJ per mole of atoms

=====

(12)
DFT (SCAN) results for a PBEsol-optimized structure of BaLiP.

Unit cell a=4.4858 b=4.4858 c=8.5865 alpha=90.00 beta=90.00 gamma=120.00
Fractional coordinates of all 6 atoms:
Ba 0.0000 0.0000 0.0000
Ba 0.0000 0.0000 0.5000
Li 0.6667 0.3333 0.7500
P 0.3333 0.6667 0.7500
Li 0.3333 0.6667 0.2500
P 0.6667 0.3333 0.2500

total energy: -18.5127 eV per atom
SG: P6_3/mmc
ΔE_f: -103 kJ per mole of atoms

=====

(13)
DFT (SCAN) results for a PBEsol-optimized structure of Ba2LiP.

Unit cell a=4.3654 b=4.3654 c=8.8228 alpha=75.68 beta=75.68 gamma=60.00
Fractional coordinates of all 4 atoms:
P 0.2081 0.2081 0.3758
Ba 0.7886 0.7886 0.6343
Ba 0.9616 0.9616 0.1151
Li 0.5417 0.5417 0.3748

total energy: -23.7240 eV per atom
SG: R3m
ΔE_f: -73 kJ per mole of atoms

=====

(14)
DFT (SCAN) results for a PBEsol-optimized structure of BaLi2SnP.

Unit cell a=4.8890 b=4.8890 c=6.0804 alpha=90.00 beta=90.00 gamma=90.00
Fractional coordinates of all 5 atoms:
Sn 0.5000 0.5000 0.5000
Li 0.0000 0.5000 0.0000
Li 0.5000 0.0000 0.0000
P 0.0000 0.0000 0.0000
Ba 0.0000 0.0000 0.5000

total energy: -18.4653 eV per atom
SG: P4/mmm
ΔE_f: -32 kJ per mole of atoms

=====

(15)
DFT (SCAN) results for a PBEsol-optimized structure of Ba2LiZnP.

Unit cell a=4.6036 b=6.2000 c=6.2000 alpha=90.00 beta=90.00 gamma=90.00
Fractional coordinates of all 5 atoms:
Ba 0.0000 0.0000 0.5000
Ba 0.0000 0.5000 0.0000
Zn 0.5000 0.5000 0.5000
Li 0.5000 0.0000 0.0000
P 0.0000 0.0000 0.0000

total energy: -21.5422 eV per atom
SG: P4/mmm
ΔE_f: -45 kJ per mole of atoms

=====

(16)
DFT (SCAN) results for a PBEsol-optimized structure of BaLiPb2.

Unit cell a=4.0618 b=4.0618 c=7.5748 alpha=90.00 beta=90.00 gamma=90.00
Fractional coordinates of all 4 atoms:
Ba 0.0000 0.0000 0.4927
Li 0.5000 0.5000 0.8269
Pb 0.0000 0.0000 0.9805
Pb 0.5000 0.5000 0.1999

total energy: -48.6998 eV per atom
SG: P4mm
ΔE_f: -31 kJ per mole of atoms

=====

(17)
DFT (SCAN) results for a PBEsol-optimized structure of BaLiPb2.

Unit cell a=4.8002 b=4.7950 c=6.7970 alpha=110.68 beta=90.00 gamma=120.04
Fractional coordinates of all 4 atoms:
Pb 0.2861 0.5721 0.3581
Pb 0.7139 0.4279 0.6419
Ba 0.5000 0.0000 0.0000
Li 0.0000 0.0000 0.5000

total energy: -48.9794 eV per atom
SG: C2/m
ΔE_f: -58 kJ per mole of atoms

=====

(18)
DFT (SCAN) results for a PBEsol-optimized structure of BaLiPb2.

Unit cell a=4.6931 b=4.6907 c=5.9812 alpha=90.03 beta=90.00 gamma=90.00
Fractional coordinates of all 4 atoms:
Pb 0.5000 0.8749 0.2304
Pb 0.0000 0.8753 0.8972
Li 0.5000 0.3745 0.9509
Ba 0.0000 0.3752 0.4214

total energy: -48.9331 eV per atom
SG: Pmm2
ΔE_f: -54 kJ per mole of atoms

=====

(19)
DFT (SCAN) results for a PBEsol-optimized structure of BaLiPb2.

Unit cell a=4.5885 b=4.8122 c=6.8229 alpha=110.65 beta=109.65 gamma=90.00
Fractional coordinates of all 4 atoms:
Li 0.2116 0.7116 0.4231
Ba 0.4714 0.4714 0.9427
Pb 0.0743 0.0743 0.1487
Pb 0.7427 0.2427 0.4855

total energy: -48.9267 eV per atom
SG: Imm2
ΔE_f: -53 kJ per mole of atoms

=====

(20)
DFT (SCAN) results for a PBEsol-optimized structure of BaLiPb.

Unit cell a=3.7443 b=5.1662 c=5.9028 alpha=115.95 beta=108.49 gamma=90.00
Fractional coordinates of all 3 atoms:
Li 0.6713 0.6713 0.3426
Ba 0.9931 0.9931 0.9862
Pb 0.3356 0.3356 0.6711

total energy: -39.6517 eV per atom
SG: Imm2
ΔE_f: -40 kJ per mole of atoms

=====

The records above yield spin magnetization values of 0.0, 1.0, 0.0, 0.0, 0.0, 0.0, 0.0, 0.0, 0.0, 0.1, 0.0, 0.0, 0.3, 0.0, 0.0, 0.1, 0.0, 0.0, 0.0, 0.0 μB/f.u., respectively.